## K2TiCuS4 (PBE-GGA)

Data for K2TiCuS4 after structural relaxation.

Cell and atoms, written as extended XYZ:
```
16
Lattice="5.610 0.000 0.000 2.805 6.598 0.000 2.805 0.000 11.708" Properties=species:S:1:pos:R:3 pbc="T T T"
Ti 7.012 3.299 5.854
Ti 0.000 0.000 0.000
K 7.012 3.299 1.673
S 5.640 2.005 7.105
S 4.177 1.295 10.456
S 4.177 5.304 1.252
S 9.847 5.304 10.456
K 2.805 0.000 7.527
Cu 2.805 0.000 0.000
S 8.385 4.594 7.105
K 5.610 0.000 4.181
S 2.775 2.005 4.602
S 4.237 1.295 1.252
Cu 4.207 3.299 5.854
S 5.640 4.594 4.602
K 7.012 3.299 10.035
```

Space group: Fddd (70)
Fermi-level density of states, states/eV per atom: 0.840
Calculated total energy, eV per atom: -4.89